(1)
CaSc2Au after structural relaxation. Source: Alexandria, functional GGA-PBE.

a b c (Å): 5.987 5.987 5.987
angles (deg): 137.60 137.60 61.51
Sites, in units of the cell vectors:
Ca  0.750  0.250  0.500
Sc  0.500  0.500  0.000
Sc  0.000  0.000  0.000
Au  0.250  0.750  0.500

Output
Its space group is I4/mmm. The value obtained for the energy of formation is -0.13 eV/atom. The energy relative to the lowest polymorph listed for this composition comes out at 0.215 eV/atom.

***

(2)
PuSeF3 after structural relaxation. Source: Alexandria, functional GGA-PBE.

a b c (Å): 6.245 7.779 6.456
angles (deg): 88.12 90.01 90.04
Sites, in units of the cell vectors:
Se  0.753  0.001  0.187
Se  0.250  0.351  0.716
F  0.422  0.713  0.950
F  0.112  0.933  0.689
F  0.610  0.420  0.211
F  0.427  0.712  0.454
F  0.916  0.640  0.946
F  0.921  0.639  0.453
Pu  0.672  0.674  0.201
Pu  0.172  0.679  0.701

Output
Its space group is P1. The value obtained for the raw total energy is -7.24 eV/atom.

***

(3)
NdEuAgSb after structural relaxation. Source: Alexandria, functional GGA-PBE.

a b c (Å): 5.421 5.421 5.421
angles (deg): 60.00 60.00 60.00
Sites, in units of the cell vectors:
Sb  0.750  0.750  0.750
Nd  0.500  0.500  0.500
Eu  0.000  0.000  0.000
Ag  0.250  0.250  0.250

Output
Its space group is F-43m. The value obtained for the raw total energy is -6.14 eV/atom.

***

(4)
TaZn3Ni4 after structural relaxation. Source: Alexandria, functional GGA-PBE.

a b c (Å): 2.791 2.791 13.010
angles (deg): 90.00 90.00 90.00
Sites, in units of the cell vectors:
Zn  0.500  0.500  0.500
Zn  0.500  0.500  0.261
Zn  0.500  0.500  0.739
Ni  0.000  0.000  0.619
Ni  0.000  0.000  0.859
Ni  0.000  0.000  0.381
Ni  0.000  0.000  0.141
Ta  0.500  0.500  0.000

Output
Its space group is P4/mmm. The value obtained for the energy of formation is -0.24 eV/atom.

***

(5)
Pr6HoTl after structural relaxation. Source: Alexandria, functional GGA-PBE.

a b c (Å): 5.070 5.070 10.421
angles (deg): 90.00 90.00 90.00
Sites, in units of the cell vectors:
Pr  0.500  0.500  0.500
Pr  0.500  0.000  0.255
Pr  0.000  0.500  0.745
Pr  0.500  0.000  0.745
Pr  0.500  0.500  0.000
Pr  0.000  0.500  0.255
Tl  0.000  0.000  0.500
Ho  0.000  0.000  0.000

Output
Its space group is P4/mmm. The value obtained for the energy of formation is -0.09 eV/atom.

***

(6)
Mn3VS after structural relaxation. Source: Alexandria, functional GGA-PBE.

a b c (Å): 4.481 4.481 4.481
angles (deg): 90.00 90.00 90.00
Sites, in units of the cell vectors:
S  0.500  0.500  0.500
V  0.000  0.000  0.000
Mn  0.500  0.000  0.000
Mn  0.000  0.500  0.000
Mn  0.000  0.000  0.500

Output
Its space group is Pm-3m. The energy relative to the lowest polymorph listed for this composition comes out at 0.796 eV/atom.

***

(7)
Pm3PrHo after structural relaxation. Source: Alexandria, functional GGA-PBE.

a b c (Å): 5.996 5.996 10.320
angles (deg): 90.00 90.00 108.80
Sites, in units of the cell vectors:
Pm  0.598  0.297  0.435
Pm  0.281  0.092  0.750
Pm  0.598  0.297  0.065
Pm  0.092  0.281  0.250
Pm  0.297  0.598  0.935
Pm  0.297  0.598  0.565
Pr  0.437  0.826  0.250
Pr  0.826  0.437  0.750
Ho  0.906  0.906  0.000
Ho  0.906  0.906  0.500

Output
Its space group is Ama2. The value obtained for the energy of formation is 0.21 eV/atom. The energy relative to the lowest polymorph listed for this composition comes out at 0.196 eV/atom.

***

(8)
BeHg2As after structural relaxation. Source: Alexandria, functional GGA-PBE.

a b c (Å): 4.258 4.258 6.704
angles (deg): 74.78 74.78 43.26
Sites, in units of the cell vectors:
Hg  0.470  0.470  0.534
Hg  0.030  0.030  0.966
Be  0.750  0.750  0.750
As  0.250  0.250  0.250

Output
Its space group is C2/m. The value obtained for the energy of formation is 0.42 eV/atom. The energy relative to the lowest polymorph listed for this composition comes out at 0.364 eV/atom.

***

(9)
Zr2SiOs after structural relaxation. Source: Alexandria, functional GGA-PBE.

a b c (Å): 4.331 4.337 3.769
angles (deg): 90.00 90.00 90.00
Sites, in units of the cell vectors:
Os  0.500  0.000  0.500
Zr  0.500  0.500  0.000
Zr  0.000  0.000  0.000
Si  0.000  0.500  0.500

Output
Its space group is P4/mmm. The value obtained for the raw total energy is -8.84 eV/atom.

***

(10)
Tl2Cd after structural relaxation. Source: Alexandria, functional GGA-PBE.

a b c (Å): 3.337 8.797 6.004
angles (deg): 90.00 90.00 90.00
Sites, in units of the cell vectors:
Cd  0.000  0.000  0.000
Cd  0.500  0.500  0.500
Tl  0.500  0.315  0.002
Tl  0.000  0.815  0.498
Tl  0.500  0.685  0.998
Tl  0.000  0.185  0.502

Output
Its space group is Pnnm. The value obtained for the energy of formation is 0.06 eV/atom. The energy relative to the lowest polymorph listed for this composition comes out at 0.028 eV/atom.

***

(11)
Tl2SiPdS4 after structural relaxation. Source: Alexandria, functional GGA-PBE.

a b c (Å): 6.501 7.529 10.590
angles (deg): 82.39 72.12 64.42
Sites, in units of the cell vectors:
Si  0.250  0.500  0.500
Si  0.500  0.000  0.000
S  0.865  0.791  0.931
S  0.162  0.291  0.431
S  0.588  0.209  0.069
S  0.546  0.291  0.569
S  0.885  0.709  0.569
S  0.407  0.709  0.431
S  0.343  0.791  0.069
S  0.204  0.209  0.931
Tl  0.917  0.500  0.167
Tl  0.583  0.500  0.833
Tl  0.833  0.000  0.333
Tl  0.167  0.000  0.667
Pd  0.750  0.500  0.500
Pd  0.000  0.000  0.000

Output
Its space group is Fddd. The value obtained for the raw total energy is -4.36 eV/atom.

***

(12)
La4InRu after structural relaxation. Source: Alexandria, functional GGA-PBE.

a b c (Å): 7.031 8.018 8.990
angles (deg): 111.10 107.04 102.70
Sites, in units of the cell vectors:
In  0.631  0.381  0.763
In  0.369  0.619  0.237
La  0.709  0.059  0.420
La  0.551  0.272  0.083
La  0.211  0.362  0.420
La  0.031  0.811  0.083
La  0.449  0.728  0.917
La  0.969  0.189  0.917
La  0.789  0.638  0.580
La  0.291  0.941  0.580
Ru  0.835  0.085  0.170
Ru  0.165  0.915  0.830

Output
Its space group is C2/c. The value obtained for the energy of formation is -0.24 eV/atom. The energy relative to the lowest polymorph listed for this composition comes out at 0.137 eV/atom.

***

(13)
HgMoAu2 after structural relaxation. Source: Alexandria, functional GGA-PBE.

a b c (Å): 2.850 5.098 5.093
angles (deg): 90.00 90.00 90.00
Sites, in units of the cell vectors:
Mo  0.000  0.500  0.500
Au  0.500  0.500  0.000
Au  0.000  0.000  0.000
Hg  0.500  0.000  0.500

Output
Its space group is Pmmm. The value obtained for the energy of formation is 0.47 eV/atom.

***

(14)
LaBe4 after structural relaxation. Source: Alexandria, functional GGA-PBE.

a b c (Å): 5.415 5.415 5.415
angles (deg): 109.47 109.47 109.47
Sites, in units of the cell vectors:
Be  0.500  0.000  0.000
Be  0.000  0.000  0.500
Be  0.000  0.500  0.000
Be  0.500  0.500  0.500
La  0.000  0.000  0.000

Output
Its space group is Im-3m. The value obtained for the energy of formation is 1.96 eV/atom. The energy relative to the lowest polymorph listed for this composition comes out at 1.811 eV/atom.

***

(15)
BaCa2ZrAs after structural relaxation. Source: Alexandria, functional GGA-PBE.

a b c (Å): 5.685 5.378 5.685
angles (deg): 90.00 90.00 90.00
Sites, in units of the cell vectors:
Zr  0.000  0.500  0.000
As  0.500  0.500  0.500
Ba  0.000  0.000  0.000
Ca  0.500  0.000  0.000
Ca  0.000  0.000  0.500

Output
Its space group is P4/mmm. The value obtained for the energy of formation is 1.30 eV/atom.

***

(16)
Li3PaO4 after structural relaxation. Source: Alexandria, functional GGA-PBE.

a b c (Å): 4.423 4.423 4.423
angles (deg): 98.81 98.81 98.81
Sites, in units of the cell vectors:
Li  0.720  0.346  0.720
Li  0.720  0.720  0.346
Li  0.346  0.720  0.720
O  0.264  0.696  0.264
O  0.825  0.825  0.825
O  0.696  0.264  0.264
O  0.264  0.264  0.696
Pa  0.167  0.167  0.167

Output
Its space group is R3m. The value obtained for the raw total energy is -6.96 eV/atom.

***

(17)
Tb4Pm5Tl after structural relaxation. Source: Alexandria, functional GGA-PBE.

a b c (Å): 4.202 4.202 18.283
angles (deg): 90.00 90.00 90.00
Sites, in units of the cell vectors:
Pm  0.500  0.500  0.297
Pm  0.500  0.500  0.500
Pm  0.500  0.500  0.703
Pm  0.500  0.500  0.090
Pm  0.500  0.500  0.910
Tb  0.000  0.000  0.602
Tb  0.000  0.000  0.398
Tb  0.000  0.000  0.196
Tb  0.000  0.000  0.804
Tl  0.000  0.000  0.000

Output
Its space group is P4/mmm. The value obtained for the energy of formation is 0.02 eV/atom. The energy relative to the lowest polymorph listed for this composition comes out at 0.000 eV/atom.

***

(18)
Cd2Ga8Ag after structural relaxation. Source: Alexandria, functional GGA-PBE.

a b c (Å): 4.207 4.207 12.567
angles (deg): 90.00 90.00 90.00
Sites, in units of the cell vectors:
Ga  0.500  0.000  0.142
Ga  0.500  0.000  0.500
Ga  0.500  0.500  0.696
Ga  0.500  0.000  0.858
Ga  0.000  0.500  0.142
Ga  0.000  0.500  0.858
Ga  0.000  0.500  0.500
Ga  0.500  0.500  0.304
Ag  0.000  0.000  0.000
Cd  0.000  0.000  0.673
Cd  0.000  0.000  0.327

Output
Its space group is P4/mmm. The value obtained for the energy of formation is 0.06 eV/atom. The energy relative to the lowest polymorph listed for this composition comes out at 0.000 eV/atom.

***

(19)
Na4Er3NpSe8 after structural relaxation. Source: Alexandria, functional GGA-PBE.

a b c (Å): 8.284 8.476 8.284
angles (deg): 119.29 120.00 90.00
Sites, in units of the cell vectors:
Se  0.743  0.728  0.485
Se  0.737  0.729  0.983
Se  0.754  0.271  0.508
Se  0.257  0.272  0.515
Se  0.754  0.271  0.017
Se  0.246  0.729  0.492
Se  0.263  0.271  0.017
Se  0.246  0.729  0.983
Na  0.000  0.000  0.000
Na  0.500  0.000  0.500
Na  0.500  0.000  0.000
Na  0.000  0.000  0.500
Er  0.500  0.500  0.500
Er  0.000  0.500  0.500
Er  0.500  0.500  0.000
Np  0.000  0.500  0.000

Output
Its space group is R-3m. The value obtained for the raw total energy is -5.30 eV/atom.

***

(20)
Tb2ZnRuC after structural relaxation. Source: Alexandria, functional GGA-PBE.

a b c (Å): 3.894 4.996 4.996
angles (deg): 90.00 90.00 90.00
Sites, in units of the cell vectors:
Tb  0.000  0.000  0.500
Tb  0.000  0.500  0.000
C  0.000  0.000  0.000
Zn  0.500  0.500  0.500
Ru  0.500  0.000  0.000

Output
Its space group is P4/mmm. The value obtained for the energy of formation is -0.38 eV/atom.

***

(21)
MoPb2Br after structural relaxation. Source: Alexandria, functional GGA-PBE.

a b c (Å): 3.423 3.423 10.769
angles (deg): 90.00 90.00 122.41
Sites, in units of the cell vectors:
Pb  0.000  0.000  0.963
Pb  0.500  0.500  0.242
Br  0.000  0.000  0.556
Mo  0.500  0.500  0.739

Output
Its space group is Cmm2. The energy relative to the lowest polymorph listed for this composition comes out at 0.168 eV/atom.

***

(22)
LiTa4Pb after structural relaxation. Source: Alexandria, functional GGA-PBE.

a b c (Å): 5.581 5.581 5.581
angles (deg): 60.00 60.00 60.00
Sites, in units of the cell vectors:
Ta  0.377  0.377  0.377
Ta  0.377  0.377  0.870
Ta  0.377  0.870  0.377
Ta  0.870  0.377  0.377
Li  0.750  0.750  0.750
Pb  0.000  0.000  0.000

Output
Its space group is F-43m. The value obtained for the energy of formation is 0.58 eV/atom.

***

(23)
ZnIrCl2 after structural relaxation. Source: Alexandria, functional GGA-PBE.

a b c (Å): 8.653 8.653 8.653
angles (deg): 22.39 22.39 22.39
Sites, in units of the cell vectors:
Ir  0.496  0.496  0.496
Cl  0.028  0.028  0.028
Cl  0.220  0.220  0.220
Zn  0.755  0.755  0.755

Output
Its space group is R3m. The energy relative to the lowest polymorph listed for this composition comes out at 0.134 eV/atom.

***

(24)
CaPm2ThN4 after structural relaxation. Source: Alexandria, functional GGA-PBE.

a b c (Å): 3.641 6.259 6.210
angles (deg): 71.20 90.00 90.00
Sites, in units of the cell vectors:
Th  0.000  0.500  0.500
Pm  0.500  0.000  0.500
Pm  0.000  0.000  0.000
N  0.500  0.747  0.259
N  0.000  0.753  0.734
N  0.500  0.253  0.741
N  0.000  0.247  0.266
Ca  0.500  0.500  0.000

Output
Its space group is P2/m. The value obtained for the raw total energy is -7.92 eV/atom.

***

(25)
SiPb2Se after structural relaxation. Source: Alexandria, functional GGA-PBE.

a b c (Å): 7.405 7.405 7.405
angles (deg): 33.15 33.15 33.15
Sites, in units of the cell vectors:
Se  0.250  0.250  0.250
Pb  0.493  0.493  0.493
Pb  0.007  0.007  0.007
Si  0.750  0.750  0.750

Output
Its space group is R-3m. The energy relative to the lowest polymorph listed for this composition comes out at 0.067 eV/atom.

***

(26)
CoSi2Hg after structural relaxation. Source: Alexandria, functional GGA-PBE.

a b c (Å): 2.943 4.640 4.576
angles (deg): 90.00 90.00 90.00
Sites, in units of the cell vectors:
Co  0.500  0.000  0.500
Si  0.000  0.000  0.000
Si  0.500  0.500  0.000
Hg  0.000  0.500  0.500

Output
Its space group is Pmmm. The value obtained for the raw total energy is -3.94 eV/atom.

***

no.,spin magnetization (μB/f.u.)
1,1.90
2,3.00
3,7.95
4,0.00
5,0.00
6,8.05
7,0.00
8,0.00
9,0.00
10,0.00
11,0.00
12,0.00
13,0.83
14,0.00
15,0.00
16,0.00
17,0.00
18,0.00
19,4.00
20,0.00
21,1.37
22,0.00
23,1.00
24,0.00
25,0.00
26,0.93